Computed, not measured: an optimized crystal structure of RbZrAgSe3 at the PBE level of DFT.

Properties
uncorrected energy	-4.735	eV/atom
space-group type	No. 62
magnetization	0.01	μB per formula unit

Geometry as extended XYZ:
```
24
Lattice="12.071 0.000 0.000 0.000 4.138 0.000 0.000 0.000 12.843" Properties=species:S:1:pos:R:3 pbc="T T T"
Rb 1.909 1.034 0.253
Rb 4.127 3.103 6.674
Rb 7.944 1.034 6.169
Rb 10.163 3.103 12.591
Zr 0.529 1.034 4.380
Zr 5.506 3.103 10.802
Zr 6.565 1.034 2.041
Zr 11.542 3.103 8.463
Ag 2.931 1.034 9.171
Ag 3.104 3.103 2.749
Ag 8.967 1.034 10.094
Ag 9.140 3.103 3.672
Se 0.351 3.103 2.509
Se 0.991 1.034 7.285
Se 2.967 3.103 10.834
Se 3.069 1.034 4.413
Se 5.045 3.103 0.863
Se 5.685 1.034 8.931
Se 6.386 3.103 3.912
Se 7.026 1.034 11.980
Se 9.002 3.103 8.431
Se 9.104 1.034 2.009
Se 11.081 3.103 5.558
Se 11.720 1.034 10.334
```